Below is NdSi2Sn2Pt7 after structural relaxation, with properties calculated at the PBE-GGA level.

Properties
- Density: 12.4 g/cm³
- Formation energy (no corrections): -637 meV/atom
- Size of the total moment: 0.00 μB per formula unit
- VASP energy: -6.13 eV/atom

a = 3.9748 Å, b = 3.9748 Å, c = 15.5343 Å
α = 82.77°, β = 82.77°, γ = 90.03°
Atoms (fractional coordinates):
1 Nd 0.0000 0.0000 0.0000
2 Si 0.6181 0.6181 0.7601
3 Si 0.3819 0.3819 0.2399
4 Sn 0.7893 0.7893 0.4230
5 Sn 0.2107 0.2107 0.5770
6 Pt 0.5000 0.5000 0.0000
7 Pt 0.3037 0.3037 0.3928
8 Pt 0.6963 0.6963 0.6072
9 Pt 0.9252 0.4254 0.1520
10 Pt 0.4254 0.9252 0.1520
11 Pt 0.5746 0.0748 0.8480
12 Pt 0.0748 0.5746 0.8480